(1)
Pm3Sm2Y7: optimized geometry, PBE.

Results
- Space group: No. 10
- Calculated formation energy: 0.0838 eV per atom
- Spin magnetization: 0.0 μB/f.u.
- Polymorph energy (0 for the lowest one): 0.000 eV/atom

Lattice parameters (Å, degrees): 5.880 3.603 18.931 90.00 93.22 90.00
Element x y z (fractional)
Pm1 0.000 0.000 0.000
Pm2 0.279 0.500 0.633
Pm3 0.721 0.500 0.367
Sm1 0.208 0.000 0.293
Sm2 0.792 0.000 0.707
Y1 0.187 0.500 0.143
Y2 0.242 0.000 0.462
Y3 0.310 0.000 0.825
Y4 0.500 0.500 0.000
Y5 0.690 0.000 0.175
Y6 0.758 0.000 0.538
Y7 0.813 0.500 0.857

(2)
RbBa2Ge: optimized geometry, PBE.

Results
- Space group: No. 160
- Calculated formation energy: -0.2291 eV per atom
- Spin magnetization: 0.0 μB/f.u.
- Polymorph energy (0 for the lowest one): 0.001 eV/atom

Lattice parameters (Å, degrees): 11.352 11.352 11.352 26.10 26.10 26.10
Element x y z (fractional)
Rb1 0.000 0.000 0.000
Ba1 0.216 0.216 0.216
Ba2 0.456 0.456 0.456
Ge1 0.836 0.836 0.836